Entry 1:
LaSm6Se8: relaxed, GGA-PBE.

abc: 8.3420 8.3420 8.3420
angles: 60.00 60.00 60.00
Sites, in units of the cell vectors:
Se (0.2500, 0.2500, 0.2500)
Se (0.2577, 0.2577, 0.7423)
Se (0.2577, 0.7423, 0.2577)
Se (0.2577, 0.7423, 0.7423)
Se (0.7423, 0.7423, 0.2577)
Se (0.7423, 0.2577, 0.2577)
Se (0.7500, 0.7500, 0.7500)
Se (0.7423, 0.2577, 0.7423)
Sm (0.0000, 0.0000, 0.5000)
Sm (0.0000, 0.5000, 0.0000)
Sm (0.5000, 0.5000, 0.0000)
Sm (0.0000, 0.5000, 0.5000)
Sm (0.5000, 0.0000, 0.5000)
Sm (0.5000, 0.0000, 0.0000)
La (0.0000, 0.0000, 0.0000)



Entry 2:
CdSiPt2Br: relaxed, GGA-PBE.

abc: 4.8684 4.8603 4.8684
angles: 90.00 90.00 90.00
Sites, in units of the cell vectors:
Pt (0.5000, 0.0000, 0.0000)
Pt (0.0000, 0.0000, 0.5000)
Si (0.0000, 0.5000, 0.0000)
Cd (0.5000, 0.5000, 0.5000)
Br (0.0000, 0.0000, 0.0000)



Entry 3:
CsCuO2F: relaxed, GGA-PBE.

abc: 3.8336 3.8336 5.3657
angles: 90.00 90.00 90.00
Sites, in units of the cell vectors:
O (0.0000, 0.5000, 0.0000)
O (0.5000, 0.0000, 0.0000)
Cu (0.0000, 0.0000, 0.0000)
Cs (0.5000, 0.5000, 0.5000)
F (0.0000, 0.0000, 0.5000)



Number 1: E -5.948 eV per atom. Number 2: E -2.937 eV per atom. Number 3: E -4.134 eV per atom.